Record 1
{"formula": "Be2InHg", "functional": "PBEsol", "state": "relaxed", "lattice_angstrom": [[2.895, 0.000, 0.000], [0.000, 2.895, 0.000], [0.000, 0.000, 7.759]], "species": ["Be", "Be", "In", "Hg"], "fractional_positions": [[0.000, 0.000, 0.067], [0.500, 0.500, 0.197], [0.500, 0.500, 0.798], [0.000, 0.000, 0.437]], "formation_enthalpy_0k_mev_per_atom": 401, "magmom_total_mub_per_cell": 0.000, "dos_at_fermi_per_ev_atom": 0.28, "de_polymorph_kj_per_mol_atoms": 5.4}



Record 2
{"formula": "Tc2NiRh", "functional": "PBEsol", "state": "relaxed", "lattice_angstrom": [[-2.051, 1.451, -0.788], [-1.541, -0.304, 3.454], [2.476, 4.306, 1.483]], "species": ["Tc", "Tc", "Ni", "Rh"], "fractional_positions": [[0.000, 0.000, 0.768], [0.000, 0.000, 0.232], [0.500, 0.500, 0.000], [0.500, 0.500, 0.500]], "formation_enthalpy_0k_mev_per_atom": -33, "magmom_total_mub_per_cell": 0.000, "dos_at_fermi_per_ev_atom": 1.02, "de_polymorph_kj_per_mol_atoms": 7.0}



Record 3
{"formula": "ZrTi3O", "functional": "PBEsol", "state": "relaxed", "lattice_angstrom": [[4.196, 0.000, 0.000], [0.000, 4.196, 0.000], [0.000, 0.000, 4.196]], "species": ["Ti", "Ti", "Ti", "Zr", "O"], "fractional_positions": [[0.000, 0.500, 0.000], [0.500, 0.000, 0.000], [0.000, 0.000, 0.500], [0.500, 0.500, 0.500], [0.000, 0.000, 0.000]], "raw_formation_energy_ev_per_atom": -1.1077, "magmom_total_mub_per_cell": 0.000, "dos_at_fermi_per_ev_atom": 0.74, "de_polymorph_kj_per_mol_atoms": 0.0}



Record 4
{"formula": "Mn2PSe", "functional": "PBEsol", "state": "relaxed", "lattice_angstrom": [[-0.009, 2.954, -0.314], [-3.805, -1.332, 1.452], [1.424, 0.444, 4.138]], "species": ["Se", "Mn", "Mn", "P"], "fractional_positions": [[0.967, 0.805, 0.500], [0.081, 0.037, 0.000], [0.673, 0.223, 0.500], [0.778, 0.435, 0.000]], "raw_formation_energy_ev_per_atom": -0.1915, "magmom_total_mub_per_cell": 0.045, "dos_at_fermi_per_ev_atom": 1.01, "de_polymorph_kj_per_mol_atoms": 2.5}



Record 5
{"formula": "BTe2S", "functional": "PBEsol", "state": "relaxed", "lattice_angstrom": [[-3.679, -4.932, -0.456], [4.878, 0.061, -3.779], [3.081, 0.560, 5.317]], "species": ["S", "S", "Te", "Te", "Te", "Te", "B", "B"], "fractional_positions": [[0.000, 0.000, 0.000], [0.500, 0.750, 0.250], [0.064, 0.189, 0.625], [0.936, 0.561, 0.125], [0.436, 0.875, 0.811], [0.564, 0.375, 0.439], [0.500, 0.250, 0.750], [0.000, 0.500, 0.500]], "raw_formation_energy_ev_per_atom": 0.5617, "magmom_total_mub_per_cell": 0.001, "dos_at_fermi_per_ev_atom": 0.68, "de_polymorph_kj_per_mol_atoms": 0.0}



Record 6
{"formula": "Gd2MgRu", "functional": "PBEsol", "state": "relaxed", "lattice_angstrom": [[4.985, 0.000, 0.000], [2.493, 4.317, 0.000], [2.493, 1.439, 4.068]], "species": ["Gd", "Gd", "Ru", "Mg"], "fractional_positions": [[0.250, 0.250, 0.250], [0.750, 0.750, 0.750], [0.000, 0.000, 0.000], [0.500, 0.500, 0.500]], "formation_enthalpy_0k_mev_per_atom": -120, "magmom_total_mub_per_cell": 14.144, "dos_at_fermi_per_ev_atom": 0.76}



Record 7
{"formula": "Li4Ti3V3Te2O16", "functional": "PBEsol", "state": "relaxed", "lattice_angstrom": [[-4.548, 2.287, -2.907], [-5.465, -1.204, 1.691], [0.112, 8.075, 6.178]], "species": ["Te", "Te", "Ti", "Ti", "Ti", "O", "O", "O", "O", "O", "O", "O", "O", "O", "O", "O", "O", "O", "O", "O", "O", "V", "V", "V", "Li", "Li", "Li", "Li"], "fractional_positions": [[0.336, 0.328, 0.999], [0.670, 0.661, 0.494], [0.177, 0.645, 0.276], [0.832, 0.819, 0.780], [0.349, 0.819, 0.780], [0.331, 0.338, 0.398], [0.490, 0.019, 0.172], [0.998, 0.004, 0.693], [0.486, 0.491, 0.168], [0.681, 0.163, 0.898], [0.982, 0.514, 0.670], [0.513, 0.974, 0.674], [0.840, 0.838, 0.398], [0.159, 0.681, 0.900], [0.321, 0.838, 0.398], [0.999, 0.002, 0.195], [0.024, 0.491, 0.168], [0.156, 0.163, 0.898], [0.841, 0.319, 0.395], [0.505, 0.514, 0.670], [0.659, 0.682, 0.898], [0.821, 0.358, 0.786], [0.646, 0.171, 0.283], [0.183, 0.171, 0.283], [0.335, 0.330, 0.599], [0.997, 0.006, 0.012], [0.000, 0.999, 0.509], [0.668, 0.664, 0.099]], "raw_formation_energy_ev_per_atom": -2.2246, "magmom_total_mub_per_cell": 7.048, "dos_at_fermi_per_ev_atom": 0.19}



Record 8
{"formula": "RbSc2TeN", "functional": "PBEsol", "state": "relaxed", "lattice_angstrom": [[-3.864, -0.571, 2.171], [2.143, -2.228, 3.228], [0.850, 4.865, 2.793]], "species": ["Te", "Sc", "Sc", "N", "Rb"], "fractional_positions": [[0.500, 0.500, 0.500], [0.000, 0.500, 0.000], [0.500, 0.000, 0.000], [0.000, 0.000, 0.000], [0.000, 0.000, 0.500]], "raw_formation_energy_ev_per_atom": -0.6405, "magmom_total_mub_per_cell": 0.000, "dos_at_fermi_per_ev_atom": 0.72}



Record 9
{"formula": "KAlCl", "functional": "PBEsol", "state": "relaxed", "lattice_angstrom": [[3.454, 0.000, 0.000], [0.000, 3.452, 0.000], [-1.727, -1.726, 6.652]], "species": ["Al", "K", "Cl"], "fractional_positions": [[0.987, 0.987, 0.975], [0.692, 0.692, 0.383], [0.321, 0.321, 0.642]], "raw_formation_energy_ev_per_atom": -0.4241, "magmom_total_mub_per_cell": 0.000, "dos_at_fermi_per_ev_atom": 0.44, "de_polymorph_kj_per_mol_atoms": 0.0}



Record 10
{"formula": "AlAg2W2", "functional": "PBEsol", "state": "relaxed", "lattice_angstrom": [[-0.809, 1.773, 3.025], [-2.460, -2.499, 0.806], [6.354, -3.203, 1.438]], "species": ["Al", "Ag", "Ag", "W", "W"], "fractional_positions": [[0.000, 0.000, 0.000], [0.250, 0.750, 0.500], [0.750, 0.250, 0.500], [0.414, 0.414, 0.828], [0.586, 0.586, 0.172]], "formation_enthalpy_0k_mev_per_atom": 908, "magmom_total_mub_per_cell": 0.000, "dos_at_fermi_per_ev_atom": 0.73}



Record 11
{"formula": "TaMo", "functional": "PBEsol", "state": "relaxed", "lattice_angstrom": [[4.070, 0.000, 0.000], [2.035, 3.525, 0.000], [2.035, 1.175, 3.323]], "species": ["Ta", "Mo"], "fractional_positions": [[0.250, 0.250, 0.250], [0.000, 0.000, 0.000]], "formation_enthalpy_0k_mev_per_atom": 2616, "magmom_total_mub_per_cell": 0.000, "dos_at_fermi_per_ev_atom": 2.03}



Record 12
{"formula": "Mn2ReRu", "functional": "PBEsol", "state": "relaxed", "lattice_angstrom": [[-2.283, -0.590, -1.151], [-1.640, -1.706, 1.135], [-5.009, 5.532, 4.110]], "species": ["Ru", "Re", "Mn", "Mn"], "fractional_positions": [[0.000, 0.000, 0.000], [0.500, 0.500, 0.500], [0.251, 0.251, 0.246], [0.749, 0.749, 0.754]], "formation_enthalpy_0k_mev_per_atom": 182, "magmom_total_mub_per_cell": 1.565, "dos_at_fermi_per_ev_atom": 1.24}



Record 13
{"formula": "Hf3NiPt", "functional": "PBEsol", "state": "relaxed", "lattice_angstrom": [[4.645, 0.000, 0.000], [0.000, 4.645, 0.000], [0.000, 0.000, 4.645]], "species": ["Ni", "Hf", "Hf", "Hf", "Pt"], "fractional_positions": [[0.000, 0.000, 0.000], [0.000, 0.000, 0.500], [0.000, 0.500, 0.000], [0.500, 0.000, 0.000], [0.500, 0.500, 0.500]], "formation_enthalpy_0k_mev_per_atom": 145, "magmom_total_mub_per_cell": 0.000, "dos_at_fermi_per_ev_atom": 1.31}



Record 14
{"formula": "RbMoN2", "functional": "PBEsol", "state": "relaxed", "lattice_angstrom": [[-2.758, -2.351, 4.701], [-2.636, -0.192, -5.390], [-0.458, -5.182, -2.860]], "species": ["N", "N", "N", "N", "Rb", "Rb", "Mo", "Mo"], "fractional_positions": [[0.875, 0.250, 0.807], [0.375, 0.250, 0.943], [0.807, 0.750, 0.375], [0.943, 0.750, 0.875], [0.500, 0.000, 0.500], [0.250, 0.500, 0.250], [0.000, 0.000, 0.000], [0.750, 0.500, 0.750]], "raw_formation_energy_ev_per_atom": -0.5136, "magmom_total_mub_per_cell": 0.000, "dos_at_fermi_per_ev_atom": 0.40, "de_polymorph_kj_per_mol_atoms": 1.3}



Record 15
{"formula": "MgH2Rh", "functional": "PBEsol", "state": "relaxed", "lattice_angstrom": [[3.712, 0.000, 0.000], [1.856, 3.215, 0.000], [1.856, 1.072, 3.031]], "species": ["H", "H", "Mg", "Rh"], "fractional_positions": [[0.750, 0.750, 0.750], [0.250, 0.250, 0.250], [0.000, 0.000, 0.000], [0.500, 0.500, 0.500]], "energy_ev_per_atom": -3.896, "magmom_total_mub_per_cell": 0.000, "dos_at_fermi_per_ev_atom": 0.23}



Record 16
{"formula": "Ta3GeH", "functional": "PBEsol", "state": "relaxed", "lattice_angstrom": [[4.099, 0.000, 0.000], [0.000, 4.099, 0.000], [0.000, 0.000, 4.099]], "species": ["Ta", "Ta", "Ta", "Ge", "H"], "fractional_positions": [[0.500, 0.000, 0.000], [0.000, 0.500, 0.000], [0.000, 0.000, 0.500], [0.500, 0.500, 0.500], [0.000, 0.000, 0.000]], "energy_ev_per_atom": -9.321, "magmom_total_mub_per_cell": 0.000, "dos_at_fermi_per_ev_atom": 0.16}



Record 17
{"formula": "LaHPd3", "functional": "PBEsol", "state": "relaxed", "lattice_angstrom": [[4.199, 0.000, 0.000], [0.000, 4.199, 0.000], [0.000, 0.000, 4.199]], "species": ["H", "Pd", "Pd", "Pd", "La"], "fractional_positions": [[0.000, 0.000, 0.000], [0.500, 0.000, 0.000], [0.000, 0.000, 0.500], [0.000, 0.500, 0.000], [0.500, 0.500, 0.500]], "energy_ev_per_atom": -5.912, "magmom_total_mub_per_cell": 0.000, "dos_at_fermi_per_ev_atom": 0.23}



Record 18
{"formula": "Sc2ZnPt", "functional": "PBEsol", "state": "relaxed", "lattice_angstrom": [[3.397, 0.000, 0.000], [0.000, 3.397, 0.000], [0.000, 0.000, 6.271]], "species": ["Sc", "Sc", "Pt", "Zn"], "fractional_positions": [[0.500, 0.500, 0.286], [0.000, 0.000, 0.957], [0.500, 0.500, 0.740], [0.000, 0.000, 0.518]], "formation_enthalpy_0k_mev_per_atom": -582, "magmom_total_mub_per_cell": 1.121, "dos_at_fermi_per_ev_atom": 0.69}



Record 19
{"formula": "ZrZnTc", "functional": "PBEsol", "state": "relaxed", "lattice_angstrom": [[-0.195, 0.367, -2.649], [-2.698, -3.665, -0.310], [-1.823, 4.122, 0.706]], "species": ["Zr", "Zn", "Tc"], "fractional_positions": [[0.301, 0.667, 0.333], [0.726, 0.333, 0.667], [0.972, 0.000, 0.000]], "formation_enthalpy_0k_mev_per_atom": -65, "magmom_total_mub_per_cell": 0.000, "dos_at_fermi_per_ev_atom": 0.73, "de_polymorph_kj_per_mol_atoms": 0.0}



Record 20
{"formula": "Sc2CoHg", "functional": "PBEsol", "state": "relaxed", "lattice_angstrom": [[3.160, 0.000, 0.000], [0.000, 4.558, 0.000], [-1.580, -2.279, 5.028]], "species": ["Sc", "Sc", "Hg", "Co"], "fractional_positions": [[0.996, 0.996, 0.992], [0.795, 0.295, 0.590], [0.212, 0.712, 0.424], [0.497, 0.497, 0.994]], "formation_enthalpy_0k_mev_per_atom": -233, "magmom_total_mub_per_cell": 0.193, "dos_at_fermi_per_ev_atom": 0.99}



Record 21
{"formula": "AlSe2Br", "functional": "PBEsol", "state": "relaxed", "lattice_angstrom": [[3.400, 0.000, 0.000], [1.700, 2.945, 0.000], [1.700, 0.982, 9.989]], "species": ["Se", "Se", "Al", "Br"], "fractional_positions": [[0.000, 0.000, 0.999], [0.783, 0.783, 0.651], [0.496, 0.496, 0.511], [0.220, 0.220, 0.339]], "raw_formation_energy_ev_per_atom": -0.2415, "magmom_total_mub_per_cell": 0.294, "dos_at_fermi_per_ev_atom": 0.70, "de_polymorph_kj_per_mol_atoms": 34.3}



Record 22
{"formula": "CsMnTeN2", "functional": "PBEsol", "state": "relaxed", "lattice_angstrom": [[4.272, 0.000, 0.000], [0.000, 4.272, 0.000], [0.000, 0.000, 7.267]], "species": ["Cs", "Te", "N", "N", "Mn"], "fractional_positions": [[0.000, 0.000, 0.000], [0.000, 0.000, 0.500], [0.500, 0.000, 0.000], [0.000, 0.500, 0.000], [0.500, 0.500, 0.500]], "raw_formation_energy_ev_per_atom": 2.2795, "magmom_total_mub_per_cell": 6.624, "dos_at_fermi_per_ev_atom": 0.56}



Record 23
{"formula": "CaTa2Al", "functional": "PBEsol", "state": "relaxed", "lattice_angstrom": [[2.834, 0.000, 0.000], [0.000, 5.516, 0.019], [0.000, -2.503, 4.916]], "species": ["Ca", "Ta", "Ta", "Al"], "fractional_positions": [[0.500, 0.500, 0.500], [0.000, 0.000, 0.500], [0.000, 0.500, 0.000], [0.500, 0.000, 0.000]], "formation_enthalpy_0k_mev_per_atom": 489, "magmom_total_mub_per_cell": 0.001, "dos_at_fermi_per_ev_atom": 0.98}



Record 24
{"formula": "Li3BiPb", "functional": "PBEsol", "state": "relaxed", "lattice_angstrom": [[5.125, 0.000, 0.000], [0.000, 5.125, 0.000], [0.000, 0.000, 5.125]], "species": ["Li", "Li", "Li", "Pb", "Bi"], "fractional_positions": [[0.000, 0.000, 0.500], [0.500, 0.000, 0.000], [0.000, 0.500, 0.000], [0.500, 0.500, 0.500], [0.000, 0.000, 0.000]], "formation_enthalpy_0k_mev_per_atom": -4, "magmom_total_mub_per_cell": 0.000, "dos_at_fermi_per_ev_atom": 0.52}



Record 25
{"formula": "MgCdPb", "functional": "PBEsol", "state": "relaxed", "lattice_angstrom": [[-0.602, -1.877, 2.735], [2.722, -0.606, -1.894], [3.963, 4.794, 4.161]], "species": ["Cd", "Pb", "Mg"], "fractional_positions": [[0.000, 0.000, 0.986], [0.333, 0.667, 0.335], [0.667, 0.333, 0.678]], "formation_enthalpy_0k_mev_per_atom": -15, "magmom_total_mub_per_cell": 0.000, "dos_at_fermi_per_ev_atom": 0.30}



Record 26
{"formula": "CaOsPt2", "functional": "PBEsol", "state": "relaxed", "lattice_angstrom": [[2.767, 0.000, 0.000], [-1.383, 4.761, 0.007], [0.000, -0.804, 4.982]], "species": ["Os", "Pt", "Pt", "Ca"], "fractional_positions": [[0.741, 0.483, 0.191], [0.255, 0.510, 0.746], [0.003, 0.005, 0.039], [0.501, 0.002, 0.524]], "formation_enthalpy_0k_mev_per_atom": -73, "magmom_total_mub_per_cell": 0.000, "dos_at_fermi_per_ev_atom": 0.57, "de_polymorph_kj_per_mol_atoms": 0.0}



Record 27
{"formula": "BaCa2Os", "functional": "PBEsol", "state": "relaxed", "lattice_angstrom": [[3.833, 0.000, 0.000], [0.000, 3.833, 0.000], [0.000, 0.000, 8.382]], "species": ["Os", "Ca", "Ca", "Ba"], "fractional_positions": [[0.000, 0.000, 0.441], [0.000, 0.000, 0.069], [0.500, 0.500, 0.309], [0.500, 0.500, 0.681]], "formation_enthalpy_0k_mev_per_atom": 503, "magmom_total_mub_per_cell": 0.000, "dos_at_fermi_per_ev_atom": 0.50, "de_polymorph_kj_per_mol_atoms": 3.0}



Record 28
{"formula": "SrInMo2", "functional": "PBEsol", "state": "relaxed", "lattice_angstrom": [[3.359, 0.000, 0.000], [0.000, 5.180, 0.000], [-1.680, -2.590, 4.972]], "species": ["Mo", "Mo", "Sr", "In"], "fractional_positions": [[0.711, 0.211, 0.422], [0.040, 0.040, 0.080], [0.480, 0.480, 0.959], [0.269, 0.769, 0.538]], "formation_enthalpy_0k_mev_per_atom": 605, "magmom_total_mub_per_cell": 0.000, "dos_at_fermi_per_ev_atom": 0.75}



Record 29
{"formula": "Cr2PRh", "functional": "PBEsol", "state": "relaxed", "lattice_angstrom": [[-0.505, 0.605, 2.512], [0.901, -1.544, 1.933], [6.764, 3.945, 1.790]], "species": ["Cr", "Cr", "Rh", "P"], "fractional_positions": [[0.245, 0.245, 0.266], [0.755, 0.755, 0.734], [0.000, 0.000, 0.000], [0.500, 0.500, 0.500]], "formation_enthalpy_0k_mev_per_atom": -55, "magmom_total_mub_per_cell": 0.007, "dos_at_fermi_per_ev_atom": 1.23}